(1)
Density functional theory data (GGA-PBE) for an optimized crystal structure of Rb3Pu2SnS6.

```
data_Rb3Pu2SnS6
_chemical_formula_sum 'Rb3 Pu2 Sn1 S6'
_space_group_name_H-M_alt 'P 1'
_space_group_IT_number 1
_cell_length_a 7.2377
_cell_length_b 7.2377
_cell_length_c 7.9580
_cell_angle_alpha 98.71
_cell_angle_beta 98.71
_cell_angle_gamma 119.96
loop_
_space_group_symop_operation_xyz
'x,y,z'
loop_
_atom_site_label
_atom_site_type_symbol
_atom_site_fract_x
_atom_site_fract_y
_atom_site_fract_z
_atom_site_occupancy
S1 S 0.2887 0.2887 0.8105 1
Pu1 Pu 0.6671 0.3329 0.0000 1
Pu2 Pu 0.3329 0.6671 0.0000 1
Rb1 Rb 0.5000 0.5000 0.5000 1
S2 S 0.5837 0.9360 0.8084 1
S3 S 0.7113 0.7113 0.1895 1
S4 S 0.4163 0.0640 0.1916 1
Rb2 Rb 0.8397 0.1603 0.5000 1
Rb3 Rb 0.1603 0.8397 0.5000 1
S5 S 0.9360 0.5837 0.8084 1
S6 S 0.0640 0.4163 0.1916 1
Sn1 Sn 0.0000 0.0000 0.0000 1
```

Summary:
Formation energy from raw total energies = -1.306 eV per atom



(2)
Density functional theory data (GGA-PBE) for an optimized crystal structure of K3Ac2MnTe6.

```
data_K3Ac2MnTe6
_chemical_formula_sum 'K3 Ac2 Mn1 Te6'
_space_group_name_H-M_alt 'P 1'
_space_group_IT_number 1
_cell_length_a 8.0914
_cell_length_b 8.0914
_cell_length_c 8.6901
_cell_angle_alpha 98.90
_cell_angle_beta 98.90
_cell_angle_gamma 120.47
loop_
_space_group_symop_operation_xyz
'x,y,z'
loop_
_atom_site_label
_atom_site_type_symbol
_atom_site_fract_x
_atom_site_fract_y
_atom_site_fract_z
_atom_site_occupancy
Te1 Te 0.9275 0.6260 0.7872 1
K1 K 0.1722 0.8278 0.5000 1
Te2 Te 0.0725 0.3740 0.2128 1
Ac1 Ac 0.6675 0.3325 0.0000 1
Ac2 Ac 0.3325 0.6675 0.0000 1
Te3 Te 0.7817 0.7817 0.2005 1
Te4 Te 0.2183 0.2183 0.7995 1
K2 K 0.5000 0.5000 0.5000 1
Mn1 Mn 0.0000 0.0000 0.0000 1
Te5 Te 0.6260 0.9275 0.7872 1
K3 K 0.8278 0.1722 0.5000 1
Te6 Te 0.3740 0.0725 0.2128 1
```

Summary:
Formation energy from raw total energies = -1.088 eV per atom



(3)
Density functional theory data (GGA-PBE) for an optimized crystal structure of Pr8Er2Th.

```
data_Pr8Er2Th
_chemical_formula_sum 'Pr8 Er2 Th1'
_space_group_name_H-M_alt 'P 1'
_space_group_IT_number 1
_cell_length_a 5.4908
_cell_length_b 8.6470
_cell_length_c 8.6470
_cell_angle_alpha 105.18
_cell_angle_beta 90.05
_cell_angle_gamma 90.05
loop_
_space_group_symop_operation_xyz
'x,y,z'
loop_
_atom_site_label
_atom_site_type_symbol
_atom_site_fract_x
_atom_site_fract_y
_atom_site_fract_z
_atom_site_occupancy
Er1 Er 0.0000 0.6189 0.3811 1
Pr1 Pr 0.5000 0.2517 0.7483 1
Pr2 Pr 0.9992 0.9653 0.7024 1
Pr3 Pr 0.5000 0.7483 0.2517 1
Pr4 Pr 0.5004 0.3313 0.3313 1
Pr5 Pr 0.0008 0.2976 0.0347 1
Er2 Er 0.0000 0.3811 0.6189 1
Pr6 Pr 0.4996 0.6687 0.6687 1
Pr7 Pr 0.9992 0.7024 0.9653 1
Pr8 Pr 0.0008 0.0347 0.2976 1
Th1 Th 0.5000 0.0000 0.0000 1
```

Summary:
Formation enthalpy at 0 K = 0.16 eV per atom



(4)
Density functional theory data (GGA-PBE) for an optimized crystal structure of RbMg5.

```
data_RbMg5
_chemical_formula_sum 'Rb1 Mg5'
_space_group_name_H-M_alt 'P 1'
_space_group_IT_number 1
_cell_length_a 3.7099
_cell_length_b 3.7099
_cell_length_c 12.8868
_cell_angle_alpha 90.00
_cell_angle_beta 90.00
_cell_angle_gamma 90.00
loop_
_space_group_symop_operation_xyz
'x,y,z'
loop_
_atom_site_label
_atom_site_type_symbol
_atom_site_fract_x
_atom_site_fract_y
_atom_site_fract_z
_atom_site_occupancy
Rb1 Rb 0.5000 0.5000 0.5000 1
Mg1 Mg 0.5000 0.5000 0.8690 1
Mg2 Mg 0.5000 0.5000 0.1310 1
Mg3 Mg 0.0000 0.0000 0.0000 1
Mg4 Mg 0.0000 0.0000 0.2620 1
Mg5 Mg 0.0000 0.0000 0.7380 1
```

Summary:
E above lowest polymorph = 0.0 meV per atom
Formation enthalpy at 0 K = 0.13 eV per atom



(5)
Density functional theory data (GGA-PBE) for an optimized crystal structure of Np2GaSi2.

```
data_Np2GaSi2
_chemical_formula_sum 'Np4 Ga2 Si4'
_space_group_name_H-M_alt 'P 1'
_space_group_IT_number 1
_cell_length_a 4.0138
_cell_length_b 5.5209
_cell_length_c 9.3241
_cell_angle_alpha 78.53
_cell_angle_beta 77.57
_cell_angle_gamma 68.68
loop_
_space_group_symop_operation_xyz
'x,y,z'
loop_
_atom_site_label
_atom_site_type_symbol
_atom_site_fract_x
_atom_site_fract_y
_atom_site_fract_z
_atom_site_occupancy
Np1 Np 0.2040 0.6319 0.9601 1
Ga1 Ga 0.7627 0.7544 0.7202 1
Si1 Si 0.3809 0.6479 0.5903 1
Si2 Si 0.5019 0.1197 0.8765 1
Si3 Si 0.4981 0.8803 0.1235 1
Np2 Np 0.7960 0.3681 0.0399 1
Ga2 Ga 0.2373 0.2456 0.2798 1
Np3 Np 0.0769 0.2041 0.6421 1
Si4 Si 0.6191 0.3521 0.4097 1
Np4 Np 0.9231 0.7959 0.3579 1
```

Summary:
Formation energy from raw total energies = -0.179 eV per atom



(6)
Density functional theory data (GGA-PBE) for an optimized crystal structure of CeDy2YAs4.

```
data_CeDy2YAs4
_chemical_formula_sum 'Ce1 Dy2 Y1 As4'
_space_group_name_H-M_alt 'P 1'
_space_group_IT_number 1
_cell_length_a 4.1453
_cell_length_b 7.1716
_cell_length_c 7.1737
_cell_angle_alpha 109.42
_cell_angle_beta 90.00
_cell_angle_gamma 90.00
loop_
_space_group_symop_operation_xyz
'x,y,z'
loop_
_atom_site_label
_atom_site_type_symbol
_atom_site_fract_x
_atom_site_fract_y
_atom_site_fract_z
_atom_site_occupancy
Dy1 Dy 0.0000 0.5000 0.5000 1
As1 As 0.0000 0.7523 0.2528 1
Ce1 Ce 0.5000 0.5000 0.0000 1
Y1 Y 0.0000 0.0000 0.0000 1
Dy2 Dy 0.5000 0.0000 0.5000 1
As2 As 0.5000 0.7502 0.7489 1
As3 As 0.0000 0.2477 0.7472 1
As4 As 0.5000 0.2498 0.2511 1
```

Summary:
Formation enthalpy at 0 K = -1.52 eV per atom



Please write out number 5 again, unchanged.
Density functional theory data (GGA-PBE) for an optimized crystal structure of Np2GaSi2.

```
data_Np2GaSi2
_chemical_formula_sum 'Np4 Ga2 Si4'
_space_group_name_H-M_alt 'P 1'
_space_group_IT_number 1
_cell_length_a 4.0138
_cell_length_b 5.5209
_cell_length_c 9.3241
_cell_angle_alpha 78.53
_cell_angle_beta 77.57
_cell_angle_gamma 68.68
loop_
_space_group_symop_operation_xyz
'x,y,z'
loop_
_atom_site_label
_atom_site_type_symbol
_atom_site_fract_x
_atom_site_fract_y
_atom_site_fract_z
_atom_site_occupancy
Np1 Np 0.2040 0.6319 0.9601 1
Ga1 Ga 0.7627 0.7544 0.7202 1
Si1 Si 0.3809 0.6479 0.5903 1
Si2 Si 0.5019 0.1197 0.8765 1
Si3 Si 0.4981 0.8803 0.1235 1
Np2 Np 0.7960 0.3681 0.0399 1
Ga2 Ga 0.2373 0.2456 0.2798 1
Np3 Np 0.0769 0.2041 0.6421 1
Si4 Si 0.6191 0.3521 0.4097 1
Np4 Np 0.9231 0.7959 0.3579 1
```

Summary:
Formation energy from raw total energies = -0.179 eV per atom